# RbY2Zn

Crystalline RbY2Zn at its relaxed geometry (PBE-GGA, Alexandria).

Summary:
- Total magnetization: 0.00 Bohr magnetons per cell
- Total DFT energy (no corrections): -3.059 eV per atom
- D(E_F): 1.952 states/eV/atom
- Space-group type: No. 141

Geometry as CIF:
```
data_RbY2Zn
_chemical_formula_sum 'Rb2 Y4 Zn2'
_cell_length_a 10.202
_cell_length_b 10.202
_cell_length_c 10.202
_cell_angle_alpha 141.73
_cell_angle_beta 141.73
_cell_angle_gamma 55.24
_symmetry_space_group_name_H-M 'P 1'
_symmetry_Int_Tables_number 1
loop_
_symmetry_equiv_pos_as_xyz
'x,y,z'
loop_
_atom_site_label
_atom_site_type_symbol
_atom_site_fract_x
_atom_site_fract_y
_atom_site_fract_z
Rb1 Rb 0.375 0.625 0.750
Rb2 Rb 0.625 0.375 0.250
Y1 Y 0.000 0.000 0.000
Y2 Y 0.000 0.000 0.500
Y3 Y 0.000 0.500 0.000
Y4 Y 0.500 0.000 0.500
Zn1 Zn 0.125 0.875 0.250
Zn2 Zn 0.875 0.125 0.750
```